Entry 1:
VASP calculation (GGA-PBE) on CaZn2Pb after structural relaxation.

The structure in CIF format:
```
data_CaZn2Pb
_chemical_formula_sum 'Ca1 Zn2 Pb1'
_cell_length_a 3.5622
_cell_length_b 3.5622
_cell_length_c 7.3683
_cell_angle_alpha 90.00
_cell_angle_beta 90.00
_cell_angle_gamma 90.00
_symmetry_space_group_name_H-M 'P 4 m m'
_symmetry_Int_Tables_number 99
_symmetry_space_group_name_Hall 'P 4 -2'
loop_
_atom_site_label
_atom_site_type_symbol
_atom_site_fract_x
_atom_site_fract_y
_atom_site_fract_z
_atom_site_occupancy
Ca1 Ca 0.0000 0.0000 0.0000 1
Zn1 Zn 0.0000 0.0000 0.5773 1
Zn2 Zn 0.5000 0.5000 0.7305 1
Pb1 Pb 0.5000 0.5000 0.3191 1
```

Entry 2:
VASP calculation (GGA-PBE) on CaZn2Pb after structural relaxation.

The structure in CIF format:
```
data_CaZn2Pb
_chemical_formula_sum 'Ca1 Zn2 Pb1'
_cell_length_a 3.6626
_cell_length_b 3.6626
_cell_length_c 7.2100
_cell_angle_alpha 90.00
_cell_angle_beta 90.00
_cell_angle_gamma 90.00
_symmetry_space_group_name_H-M 'P 4/m m m'
_symmetry_Int_Tables_number 123
_symmetry_space_group_name_Hall '-P 4 2'
loop_
_atom_site_label
_atom_site_type_symbol
_atom_site_fract_x
_atom_site_fract_y
_atom_site_fract_z
_atom_site_occupancy
Ca1 Ca 0.0000 0.0000 0.0000 1
Zn1 Zn 0.5000 0.5000 0.2612 1
Pb1 Pb 0.0000 0.0000 0.5000 1
```

Entry 3:
VASP calculation (GGA-PBE) on Ca2ZnPb2 after structural relaxation.

Values from the calculation:
relative energy among the computed polymorphs = 0.000 eV per atom

The structure in CIF format:
```
data_Ca2ZnPb2
_chemical_formula_sum 'Ca8 Zn4 Pb8'
_cell_length_a 11.6913
_cell_length_b 4.7725
_cell_length_c 11.4360
_cell_angle_alpha 90.00
_cell_angle_beta 116.41
_cell_angle_gamma 90.00
_symmetry_space_group_name_H-M 'C 1 2/m 1'
_symmetry_Int_Tables_number 12
_symmetry_space_group_name_Hall '-C 2y'
loop_
_atom_site_label
_atom_site_type_symbol
_atom_site_fract_x
_atom_site_fract_y
_atom_site_fract_z
_atom_site_occupancy
Ca1 Ca 0.0036 0.0000 0.3302 1
Ca2 Ca 0.1774 0.0000 0.1077 1
Zn1 Zn 0.2081 0.5000 0.3289 1
Pb1 Pb 0.0364 0.5000 0.8842 1
Pb2 Pb 0.1551 0.5000 0.5607 1
```

Entry 4:
VASP calculation (GGA-PBE) on Ca2ZnPb2 after structural relaxation.

Values from the calculation:
relative energy among the computed polymorphs = 0.071 eV per atom

The structure in CIF format:
```
data_Ca2ZnPb2
_chemical_formula_sum 'Ca4 Zn2 Pb4'
_cell_length_a 7.6963
_cell_length_b 7.6963
_cell_length_c 4.9254
_cell_angle_alpha 90.00
_cell_angle_beta 90.00
_cell_angle_gamma 90.00
_symmetry_space_group_name_H-M 'P 4/m b m'
_symmetry_Int_Tables_number 127
_symmetry_space_group_name_Hall '-P 4 2ab'
loop_
_atom_site_label
_atom_site_type_symbol
_atom_site_fract_x
_atom_site_fract_y
_atom_site_fract_z
_atom_site_occupancy
Ca1 Ca 0.1644 0.3356 0.0000 1
Zn1 Zn 0.0000 0.0000 0.5000 1
Pb1 Pb 0.1460 0.6460 0.5000 1
```

In order of appearance, DFT formation energy = -0.131, -0.106, -0.403, -0.333 eV per atom.
In order of appearance, size of the total moment = 0.00, 0.00, 0.00, 0.00 μB/f.u..